Arrangement i

# ZrCr2Mo GGA-PBE optimized geometry
# SG: No. 225
data_ZrCr2Mo
_space_group_name_H-M_alt 'P 1'
_space_group_IT_number 1
_cell_length_a 4.402
_cell_length_b 4.402
_cell_length_c 4.402
_cell_angle_alpha 60.00
_cell_angle_beta 60.00
_cell_angle_gamma 60.00
loop_
_space_group_symop_operation_xyz
'x,y,z'
loop_
_atom_site_label
_atom_site_type_symbol
_atom_site_fract_x
_atom_site_fract_y
_atom_site_fract_z
Cr1 Cr 0.250 0.250 0.250
Cr2 Cr 0.750 0.750 0.750
Mo1 Mo 0.500 0.500 0.500
Zr1 Zr 0.000 0.000 0.000

---

Arrangement ii

# ZrCr2Mo GGA-PBE optimized geometry
# SG: No. 123
data_ZrCr2Mo
_space_group_name_H-M_alt 'P 1'
_space_group_IT_number 1
_cell_length_a 3.096
_cell_length_b 3.095
_cell_length_c 6.361
_cell_angle_alpha 90.00
_cell_angle_beta 90.00
_cell_angle_gamma 90.00
loop_
_space_group_symop_operation_xyz
'x,y,z'
loop_
_atom_site_label
_atom_site_type_symbol
_atom_site_fract_x
_atom_site_fract_y
_atom_site_fract_z
Cr1 Cr 0.000 0.000 0.023
Cr2 Cr 0.000 0.000 0.477
Mo1 Mo 0.500 0.500 0.250
Zr1 Zr 0.500 0.500 0.750

---

Arrangement iii

# ZrCr2Mo GGA-PBE optimized geometry
# SG: No. 44
data_ZrCr2Mo
_space_group_name_H-M_alt 'P 1'
_space_group_IT_number 1
_cell_length_a 5.167
_cell_length_b 5.167
_cell_length_c 5.167
_cell_angle_alpha 145.10
_cell_angle_beta 128.82
_cell_angle_gamma 63.45
loop_
_space_group_symop_operation_xyz
'x,y,z'
loop_
_atom_site_label
_atom_site_type_symbol
_atom_site_fract_x
_atom_site_fract_y
_atom_site_fract_z
Cr1 Cr 0.983 0.983 0.000
Cr2 Cr 0.755 0.255 0.500
Mo1 Mo 0.514 0.514 0.000
Zr1 Zr 0.247 0.747 0.500

---

Arrangement iv

# ZrCr2Mo GGA-PBE optimized geometry
# SG: No. 47
data_ZrCr2Mo
_space_group_name_H-M_alt 'P 1'
_space_group_IT_number 1
_cell_length_a 3.153
_cell_length_b 4.451
_cell_length_c 4.464
_cell_angle_alpha 90.00
_cell_angle_beta 90.00
_cell_angle_gamma 90.00
loop_
_space_group_symop_operation_xyz
'x,y,z'
loop_
_atom_site_label
_atom_site_type_symbol
_atom_site_fract_x
_atom_site_fract_y
_atom_site_fract_z
Cr1 Cr 0.000 0.000 0.000
Cr2 Cr 0.500 0.500 0.000
Mo1 Mo 0.500 0.000 0.500
Zr1 Zr 0.000 0.500 0.500

---

Which structure is the most stable? The one labeled arrangement ii.

---

Arrangement i

# ZrCr2Mo GGA-PBE optimized geometry
# SG: No. 35
data_ZrCr2Mo
_space_group_name_H-M_alt 'P 1'
_space_group_IT_number 1
_cell_length_a 2.748
_cell_length_b 2.748
_cell_length_c 8.606
_cell_angle_alpha 90.00
_cell_angle_beta 90.00
_cell_angle_gamma 110.94
loop_
_space_group_symop_operation_xyz
'x,y,z'
loop_
_atom_site_label
_atom_site_type_symbol
_atom_site_fract_x
_atom_site_fract_y
_atom_site_fract_z
Cr1 Cr 0.000 0.000 0.032
Cr2 Cr 0.500 0.500 0.235
Mo1 Mo 0.000 0.000 0.470
Zr1 Zr 0.500 0.500 0.762

---

Arrangement ii

# ZrCr2Mo GGA-PBE optimized geometry
# SG: No. 123
data_ZrCr2Mo
_space_group_name_H-M_alt 'P 1'
_space_group_IT_number 1
_cell_length_a 4.407
_cell_length_b 4.407
_cell_length_c 3.112
_cell_angle_alpha 90.00
_cell_angle_beta 90.00
_cell_angle_gamma 90.00
loop_
_space_group_symop_operation_xyz
'x,y,z'
loop_
_atom_site_label
_atom_site_type_symbol
_atom_site_fract_x
_atom_site_fract_y
_atom_site_fract_z
Cr1 Cr 0.000 0.000 0.000
Cr2 Cr 0.500 0.500 0.000
Mo1 Mo 0.500 0.000 0.500
Zr1 Zr 0.000 0.500 0.500

---

Which structure is the most stable? The one labeled arrangement ii.

---

Arrangement i

# ZrCr2Mo GGA-PBE optimized geometry
# SG: No. 99
data_ZrCr2Mo
_space_group_name_H-M_alt 'P 1'
_space_group_IT_number 1
_cell_length_a 3.060
_cell_length_b 3.060
_cell_length_c 6.558
_cell_angle_alpha 90.00
_cell_angle_beta 90.00
_cell_angle_gamma 90.00
loop_
_space_group_symop_operation_xyz
'x,y,z'
loop_
_atom_site_label
_atom_site_type_symbol
_atom_site_fract_x
_atom_site_fract_y
_atom_site_fract_z
Cr1 Cr 0.000 0.000 0.035
Cr2 Cr 0.500 0.500 0.241
Mo1 Mo 0.000 0.000 0.463
Zr1 Zr 0.500 0.500 0.760

---

Arrangement ii

# ZrCr2Mo GGA-PBE optimized geometry
# SG: No. 6
data_ZrCr2Mo
_space_group_name_H-M_alt 'P 1'
_space_group_IT_number 1
_cell_length_a 4.237
_cell_length_b 2.834
_cell_length_c 5.164
_cell_angle_alpha 79.49
_cell_angle_beta 90.00
_cell_angle_gamma 90.00
loop_
_space_group_symop_operation_xyz
'x,y,z'
loop_
_atom_site_label
_atom_site_type_symbol
_atom_site_fract_x
_atom_site_fract_y
_atom_site_fract_z
Cr1 Cr 0.000 0.006 0.019
Cr2 Cr 0.500 0.247 0.247
Mo1 Mo 0.000 0.497 0.473
Zr1 Zr 0.500 0.750 0.761

---

Arrangement iii

# ZrCr2Mo GGA-PBE optimized geometry
# SG: No. 65
data_ZrCr2Mo
_space_group_name_H-M_alt 'P 1'
_space_group_IT_number 1
_cell_length_a 2.764
_cell_length_b 2.764
_cell_length_c 8.563
_cell_angle_alpha 90.00
_cell_angle_beta 90.00
_cell_angle_gamma 111.17
loop_
_space_group_symop_operation_xyz
'x,y,z'
loop_
_atom_site_label
_atom_site_type_symbol
_atom_site_fract_x
_atom_site_fract_y
_atom_site_fract_z
Cr1 Cr 0.000 0.000 0.018
Cr2 Cr 0.000 0.000 0.482
Mo1 Mo 0.500 0.500 0.250
Zr1 Zr 0.500 0.500 0.750

---

Which structure is the most stable? The one labeled arrangement i.

---

Arrangement i

# ZrCr2Mo GGA-PBE optimized geometry
# SG: No. 216
data_ZrCr2Mo
_space_group_name_H-M_alt 'P 1'
_space_group_IT_number 1
_cell_length_a 4.426
_cell_length_b 4.426
_cell_length_c 4.426
_cell_angle_alpha 60.00
_cell_angle_beta 60.00
_cell_angle_gamma 60.00
loop_
_space_group_symop_operation_xyz
'x,y,z'
loop_
_atom_site_label
_atom_site_type_symbol
_atom_site_fract_x
_atom_site_fract_y
_atom_site_fract_z
Cr1 Cr 0.000 0.000 0.000
Cr2 Cr 0.250 0.250 0.250
Mo1 Mo 0.500 0.500 0.500
Zr1 Zr 0.750 0.750 0.750

---

Arrangement ii

# ZrCr2Mo GGA-PBE optimized geometry
# SG: No. 166
data_ZrCr2Mo
_space_group_name_H-M_alt 'P 1'
_space_group_IT_number 1
_cell_length_a 8.402
_cell_length_b 8.402
_cell_length_c 8.402
_cell_angle_alpha 20.46
_cell_angle_beta 20.46
_cell_angle_gamma 20.46
loop_
_space_group_symop_operation_xyz
'x,y,z'
loop_
_atom_site_label
_atom_site_type_symbol
_atom_site_fract_x
_atom_site_fract_y
_atom_site_fract_z
Cr1 Cr 0.007 0.007 0.007
Cr2 Cr 0.493 0.493 0.493
Mo1 Mo 0.750 0.750 0.750
Zr1 Zr 0.250 0.250 0.250

---

Arrangement iii

# ZrCr2Mo GGA-PBE optimized geometry
# SG: No. 12
data_ZrCr2Mo
_space_group_name_H-M_alt 'P 1'
_space_group_IT_number 1
_cell_length_a 5.055
_cell_length_b 5.055
_cell_length_c 2.791
_cell_angle_alpha 79.05
_cell_angle_beta 79.05
_cell_angle_gamma 114.65
loop_
_space_group_symop_operation_xyz
'x,y,z'
loop_
_atom_site_label
_atom_site_type_symbol
_atom_site_fract_x
_atom_site_fract_y
_atom_site_fract_z
Cr1 Cr 0.000 0.000 0.000
Cr2 Cr 0.500 0.500 0.000
Mo1 Mo 0.500 0.000 0.500
Zr1 Zr 0.000 0.500 0.500

---

Which structure is the most stable? The one labeled arrangement i.

---

Arrangement i

# ZrCrMo GGA-PBE optimized geometry
# SG: No. 12
data_ZrCrMo
_space_group_name_H-M_alt 'P 1'
_space_group_IT_number 1
_cell_length_a 6.549
_cell_length_b 3.141
_cell_length_c 10.162
_cell_angle_alpha 90.00
_cell_angle_beta 109.55
_cell_angle_gamma 90.00
loop_
_space_group_symop_operation_xyz
'x,y,z'
loop_
_atom_site_label
_atom_site_type_symbol
_atom_site_fract_x
_atom_site_fract_y
_atom_site_fract_z
Cr1 Cr 0.720 0.000 0.999
Cr2 Cr 0.280 0.000 0.001
Cr3 Cr 0.720 0.500 0.499
Cr4 Cr 0.280 0.500 0.501
Mo1 Mo 0.430 0.000 0.343
Mo2 Mo 0.570 0.000 0.657
Mo3 Mo 0.430 0.500 0.843
Mo4 Mo 0.570 0.500 0.157
Zr1 Zr 0.087 0.000 0.658
Zr2 Zr 0.913 0.000 0.342
Zr3 Zr 0.087 0.500 0.158
Zr4 Zr 0.913 0.500 0.842

---

Arrangement ii

# ZrCrMo GGA-PBE optimized geometry
# SG: No. 38
data_ZrCrMo
_space_group_name_H-M_alt 'P 1'
_space_group_IT_number 1
_cell_length_a 4.681
_cell_length_b 4.244
_cell_length_c 10.128
_cell_angle_alpha 90.00
_cell_angle_beta 90.02
_cell_angle_gamma 90.00
loop_
_space_group_symop_operation_xyz
'x,y,z'
loop_
_atom_site_label
_atom_site_type_symbol
_atom_site_fract_x
_atom_site_fract_y
_atom_site_fract_z
Cr1 Cr 0.019 0.000 0.275
Cr2 Cr 0.019 0.500 0.775
Cr3 Cr 0.019 0.000 0.647
Cr4 Cr 0.019 0.500 0.147
Mo1 Mo 0.519 0.000 0.479
Mo2 Mo 0.519 0.500 0.979
Mo3 Mo 0.519 0.000 0.128
Mo4 Mo 0.519 0.500 0.628
Zr1 Zr 0.019 0.000 0.970
Zr2 Zr 0.019 0.500 0.470
Zr3 Zr 0.519 0.000 0.795
Zr4 Zr 0.519 0.500 0.295

---

Which structure is the most stable? The one labeled arrangement i.